[1]
A plane-wave DFT calculation with GGA-PBE was carried out for a relaxed structure of Be2ReMo.

POSCAR file:
```
Be2ReMo
1.0
-2.5033 2.5033 4.9462
2.5033 -2.5033 4.9462
2.5033 2.5033 -4.9462
Be Re Mo
4 2 2
direct
0.1151 0.6250 0.9901
0.3750 0.3651 0.4901
0.6349 0.1250 0.0099
0.8750 0.8849 0.5099
0.0000 0.0000 0.0000
0.7500 0.2500 0.5000
0.2500 0.7500 0.5000
0.5000 0.5000 0.0000
```

Calculated values
Energy above the lowest structure with this stoichiometry ... 48.440 kcal/mol of atoms
N(E_F) ... 1.219 states/eV per atom
Space group ... No. 122
Raw total energy ... -5.823 eV per atom
V ... 15.50 A^3/atom

=====

[2]
A plane-wave DFT calculation with GGA-PBE was carried out for a relaxed structure of Ti4Zn10Cu.

POSCAR file:
```
Ti4Zn10Cu
1.0
-4.3680 4.3680 3.1289
4.3680 -4.3680 3.1289
4.3680 4.3680 -3.1289
Ti Zn Cu
4 10 1
direct
0.2288 0.2288 0.4575
0.2288 0.7712 0.0000
0.7712 0.2288 0.0000
0.7712 0.7712 0.5425
0.0832 0.2935 0.7897
0.2500 0.7500 0.5000
0.2935 0.0832 0.7897
0.2935 0.5038 0.2103
0.4962 0.7065 0.7897
0.5038 0.2935 0.2103
0.7065 0.4962 0.7897
0.7065 0.9168 0.2103
0.7500 0.2500 0.5000
0.9168 0.7065 0.2103
0.0000 0.0000 0.0000
```

Calculated values
N(E_F) ... 0.780 states/eV per atom
Space group ... No. 139
Raw total energy ... -3.270 eV per atom
V ... 15.92 A^3/atom

=====

[3]
A plane-wave DFT calculation with GGA-PBE was carried out for a relaxed structure of TaCdHg2.

POSCAR file:
```
TaCdHg2
1.0
4.3686 0.0000 0.0000
0.0000 4.3686 0.0000
0.0000 0.0000 4.2295
Ta Cd Hg
1 1 2
direct
0.0000 0.0000 0.0000
0.5000 0.5000 0.0000
0.0000 0.5000 0.5000
0.5000 0.0000 0.5000
```

Calculated values
N(E_F) ... 0.461 states/eV per atom
Space group ... No. 123
Raw total energy ... -2.961 eV per atom
V ... 20.18 A^3/atom

=====

[4]
A plane-wave DFT calculation with GGA-PBE was carried out for a relaxed structure of HfSb2Au.

POSCAR file:
```
HfSb2Au
1.0
0.0000 3.5707 3.5707
3.5707 0.0000 3.5707
3.5707 3.5707 0.0000
Hf Sb Au
1 2 1
direct
0.0000 0.0000 0.0000
0.2500 0.2500 0.2500
0.7500 0.7500 0.7500
0.5000 0.5000 0.5000
```

Calculated values
Energy relative to the elements, uncorrected ... 0.06 eV/atom
N(E_F) ... 0.893 states/eV per atom
Space group ... No. 225
Raw total energy ... -5.309 eV per atom
V ... 22.76 A^3/atom

=====

[5]
A plane-wave DFT calculation with GGA-PBE was carried out for a relaxed structure of DyFeSi3Ir.

POSCAR file:
```
DyFeSi3Ir
1.0
3.0514 -6.2224 0.0000
3.0514 6.2224 0.0000
0.0000 0.0000 5.6301
Dy Fe Si Ir
2 2 6 2
direct
0.2007 0.7993 0.7500
0.7993 0.2007 0.2500
0.0313 0.9687 0.2500
0.9687 0.0313 0.7500
0.2007 0.7993 0.2500
0.2880 0.2880 0.0000
0.2880 0.2880 0.5000
0.7120 0.7120 0.0000
0.7120 0.7120 0.5000
0.7993 0.2007 0.7500
0.3813 0.6187 0.2500
0.6187 0.3813 0.7500
```

Calculated values
Energy relative to the elements, uncorrected ... -0.45 eV/atom
N(E_F) ... 0.650 states/eV per atom
Space group ... No. 63
Raw total energy ... -6.813 eV per atom
V ... 17.82 A^3/atom

=====

[6]
A plane-wave DFT calculation with GGA-PBE was carried out for a relaxed structure of TbH5Ir.

POSCAR file:
```
TbH5Ir
1.0
2.3966 -3.9048 0.0000
2.3966 3.9048 0.0000
-0.8219 0.0000 6.9835
Tb H Ir
2 10 2
direct
0.1606 0.8394 0.7500
0.8394 0.1606 0.2500
0.1005 0.2265 0.9602
0.2265 0.1005 0.4602
0.2338 0.6458 0.4402
0.3542 0.7662 0.0598
0.4666 0.5334 0.7500
0.5334 0.4666 0.2500
0.6458 0.2338 0.9402
0.7662 0.3542 0.5598
0.7735 0.8995 0.5398
0.8995 0.7735 0.0398
0.5000 0.5000 0.0000
0.5000 0.5000 0.5000
```

Calculated values
N(E_F) ... 0.098 states/eV per atom
Space group ... No. 15
Raw total energy ... -4.776 eV per atom
V ... 9.34 A^3/atom

=====

[7]
A plane-wave DFT calculation with GGA-PBE was carried out for a relaxed structure of CdTcIr2.

POSCAR file:
```
CdTcIr2
1.0
-2.0052 2.0052 3.9041
2.0052 -2.0052 3.9041
2.0052 2.0052 -3.9041
Cd Tc Ir
1 1 2
direct
0.0000 0.0000 0.0000
0.5000 0.5000 0.0000
0.2500 0.7500 0.5000
0.7500 0.2500 0.5000
```

Calculated values
N(E_F) ... 0.799 states/eV per atom
Space group ... No. 139
Raw total energy ... -7.013 eV per atom
V ... 15.70 A^3/atom

=====

[8]
A plane-wave DFT calculation with GGA-PBE was carried out for a relaxed structure of CaTiNbV2.

POSCAR file:
```
CaTiNbV2
1.0
4.8196 0.0000 0.0000
0.0000 4.8196 0.0000
0.0000 0.0000 4.8802
Ca Ti Nb V
1 1 1 2
direct
0.0000 0.0000 0.0000
0.5000 0.5000 0.0000
0.5000 0.5000 0.5000
0.0000 0.5000 0.5000
0.5000 0.0000 0.5000
```

Calculated values
N(E_F) ... 1.922 states/eV per atom
Space group ... No. 123
Raw total energy ... -6.676 eV per atom
V ... 22.67 A^3/atom

=====

[9]
A plane-wave DFT calculation with GGA-PBE was carried out for a relaxed structure of ZnInCo2.

POSCAR file:
```
ZnInCo2
1.0
-3.4259 3.4259 2.6107
3.4259 -3.4259 2.6107
3.4259 3.4259 -2.6107
Zn In Co
2 2 4
direct
0.0000 0.0000 0.0000
0.7500 0.2500 0.5000
0.2500 0.7500 0.5000
0.5000 0.5000 0.0000
0.1046 0.6250 0.9796
0.3750 0.3546 0.4796
0.6454 0.1250 0.0204
0.8750 0.8954 0.5204
```

Calculated values
N(E_F) ... 1.697 states/eV per atom
Space group ... No. 122
Raw total energy ... -4.067 eV per atom
V ... 15.32 A^3/atom

=====

[10]
A plane-wave DFT calculation with GGA-PBE was carried out for a relaxed structure of ScP2Rh.

POSCAR file:
```
ScP2Rh
1.0
4.6143 -1.5675 0.0000
4.6143 1.5675 0.0000
-1.0613 0.0000 4.3493
Sc P Rh
1 2 1
direct
0.0000 0.0000 0.0000
0.4998 0.4998 0.4937
0.7323 0.7323 0.0529
0.2148 0.2148 0.6185
```

Calculated values
Energy above the lowest structure with this stoichiometry ... 5.047 kcal/mol of atoms
N(E_F) ... 0.676 states/eV per atom
Space group ... No. 8
Raw total energy ... -6.828 eV per atom
V ... 15.73 A^3/atom

=====

[11]
A plane-wave DFT calculation with GGA-PBE was carried out for a relaxed structure of Tm4Ag2Ir.

POSCAR file:
```
Tm4Ag2Ir
1.0
2.4777 1.4305 8.0414
-2.4777 1.4305 8.0414
0.0000 -2.8610 8.0414
Tm Ag Ir
4 2 1
direct
0.1208 0.1208 0.1208
0.3718 0.3718 0.3718
0.6282 0.6282 0.6282
0.8792 0.8792 0.8792
0.2469 0.2469 0.2469
0.7531 0.7531 0.7531
0.0000 0.0000 0.0000
```

Calculated values
Energy above the lowest structure with this stoichiometry ... 1.500 kcal/mol of atoms
N(E_F) ... 0.805 states/eV per atom
Space group ... No. 166
Raw total energy ... -5.034 eV per atom
V ... 24.43 A^3/atom

=====

[12]
A plane-wave DFT calculation with GGA-PBE was carried out for a relaxed structure of InHg5S5.

POSCAR file:
```
InHg5S5
1.0
6.5776 -2.7519 0.0000
6.5776 2.7519 0.0000
-2.6255 0.0000 7.3985
In Hg S
1 5 5
direct
0.0000 0.0000 0.0000
0.0000 0.0000 0.5000
0.3280 0.3280 0.6728
0.3391 0.3391 0.1660
0.6609 0.6609 0.8340
0.6720 0.6720 0.3272
0.1375 0.1375 0.8059
0.1663 0.1663 0.3126
0.5000 0.5000 0.0000
0.8337 0.8337 0.6874
0.8625 0.8625 0.1941
```

Calculated values
Energy relative to the elements, uncorrected ... -0.04 eV/atom
N(E_F) ... 0.154 states/eV per atom
Space group ... No. 12
Raw total energy ... -2.307 eV per atom
V ... 24.35 A^3/atom